Pu4TlPb3 | the Alexandria database | GGA-PBE | optimized geometry; formation energy = -30 meV/atom
1.0
-1.1952 -2.6016 -2.8822
3.7640 -1.5163 -0.1922
-3.2184 -9.2125 9.6502
Pu Tl Pb
4 1 3
direct
0.0000 0.0000 0.3768 Pu
0.0000 0.0000 0.8734 Pu
0.0000 0.0000 0.6232 Pu
0.0000 0.0000 0.1266 Pu
0.5000 0.5000 0.0000 Tl
0.5000 0.5000 0.7492 Pb
0.5000 0.5000 0.2508 Pb
0.5000 0.5000 0.5000 Pb